Compound: Er2MoO5
Source: Alexandria
Functional: PBE+U
Structure: optimized geometry

Summary:
As for the density: 9.23 g/cm3. The electronic total energy comes out at -8.02 eV per atom.

a b c (Å): 5.871 6.520 9.600
angles (deg): 90.00 90.00 90.00
Site moments in Bohr magnetons follow the coordinates.
Atoms (fractional coordinates):
Er 0.976 0.001 0.674  0.02
O 0.844 0.471 0.906  0.02
Er 0.524 0.499 0.174  0.02
Er 0.524 0.001 0.174  0.02
O 0.666 0.250 0.684  0.01
O 0.344 0.529 0.594  0.02
O 0.436 0.250 0.003  -0.01
O 0.814 0.750 0.209  0.01
O 0.156 0.971 0.094  0.02
Mo 0.445 0.250 0.500  1.89
O 0.166 0.750 0.816  0.01
O 0.564 0.750 0.997  -0.01
O 0.186 0.250 0.791  0.01
O 0.936 0.750 0.497  -0.01
Mo 0.555 0.750 0.500  1.89
O 0.334 0.750 0.316  0.01
O 0.656 0.471 0.406  0.02
Er 0.024 0.999 0.326  0.02
O 0.156 0.529 0.094  0.02
O 0.834 0.250 0.184  0.01
Er 0.024 0.501 0.326  0.02
Er 0.976 0.499 0.674  0.02
O 0.314 0.250 0.291  0.01
Er 0.476 0.999 0.826  0.02
Er 0.476 0.501 0.826  0.02
O 0.686 0.750 0.709  0.01
Mo 0.945 0.750 0.000  1.89
O 0.844 0.029 0.906  0.02
O 0.344 0.971 0.594  0.02
O 0.064 0.250 0.503  -0.01
O 0.656 0.029 0.406  0.02
Mo 0.055 0.250 0.000  1.89